An optimized crystal structure of NdGdPu4, computed with PBE.

Lattice parameters (Å, degrees): 6.1989 6.1989 6.1989 60.00 60.00 60.00
Last column: nearest neighbours and their distance in Å.
Element x y z (fractional)
Nd: 0.2500 0.2500 0.2500  12 Pu 3.63, 4 Gd 3.80
Pu: 0.6250 0.6250 0.1250  6 Pu 3.10
Pu: 0.1250 0.6250 0.6250  6 Pu 3.10
Pu: 0.6250 0.1250 0.6250  6 Pu 3.10
Pu: 0.6250 0.6250 0.6250  6 Pu 3.10
Gd: 0.0000 0.0000 0.0000  12 Pu 3.63, 4 Nd 3.80

Crystal system: cubic
Calculated formation energy, eV/atom: 0.234
E, eV per atom: -12.462
Magnetization, Bohr magnetons per cell: 15.37

=====

An optimized crystal structure of La2YScBi, computed with PBE.

Lattice parameters (Å, degrees): 6.1606 5.4367 6.1606 90.00 90.00 90.00
Last column: nearest neighbours and their distance in Å.
Element x y z (fractional)
La: 0.0000 0.0000 0.5000  2 Bi 3.08
La: 0.5000 0.0000 0.0000  2 Bi 3.08
Bi: 0.0000 0.0000 0.0000  2 Sc 2.72
Sc: 0.0000 0.5000 0.0000  2 Bi 2.72
Y: 0.5000 0.5000 0.5000  8 La 4.11, 4 Sc 4.36

Crystal system: tetragonal
Calculated formation energy, eV/atom: 0.216
E, eV per atom: -5.090
Magnetization, Bohr magnetons per cell: 0.00

=====

An optimized crystal structure of PrHoCuAu, computed with PBE.

Lattice parameters (Å, degrees): 3.8350 4.5714 5.8626 90.00 109.09 90.00
Last column: nearest neighbours and their distance in Å.
Element x y z (fractional)
Au: 0.5797 0.5000 0.1594  2 Cu 2.86, 4 Ho 3.05, 3 Pr 3.10-3.11
Ho: 0.1372 0.0000 0.2745  3 Cu 3.04-3.18, 4 Au 3.05
Cu: 0.4240 0.0000 0.8480  2 Au 2.86, 3 Ho 3.04-3.18, 4 Pr 3.07
Pr: 0.8591 0.5000 0.7182  4 Cu 3.07, 3 Au 3.10-3.11

Crystal system: orthorhombic
Calculated formation energy, eV/atom: -0.508
E, eV per atom: -4.691
Magnetization, Bohr magnetons per cell: 0.00
ΔE to the lowest computed polymorph, meV per atom: 0

=====

An optimized crystal structure of LaNb3Tl, computed with PBE.

Lattice parameters (Å, degrees): 5.2245 5.2245 5.2245 90.00 90.00 90.00
Last column: nearest neighbours and their distance in Å.
Element x y z (fractional)
Nb: 0.0000 0.5000 0.0000  2 Tl 2.61
Nb: 0.5000 0.0000 0.0000  2 Tl 2.61
Nb: 0.0000 0.0000 0.5000  2 Tl 2.61
Tl: 0.0000 0.0000 0.0000  6 Nb 2.61
La: 0.5000 0.5000 0.5000  12 Nb 3.69

Crystal system: cubic
Calculated formation energy, eV/atom: 1.593
E, eV per atom: -5.908
Magnetization, Bohr magnetons per cell: 0.00
ΔE to the lowest computed polymorph, meV per atom: 0

=====

An optimized crystal structure of Mn3Nb4Ru, computed with PBE.

Lattice parameters (Å, degrees): 3.0955 4.4096 8.7329 90.00 90.00 90.00
Last column: nearest neighbours and their distance in Å.
Element x y z (fractional)
Nb: 0.0000 0.0000 0.0000  4 Mn 2.68, 4 Ru 2.69
Nb: 0.0000 0.5000 0.7398  6 Mn 2.60-2.70, 2 Ru 2.75
Nb: 0.0000 0.0000 0.5000  8 Mn 2.68-2.69
Nb: 0.0000 0.5000 0.2602  6 Mn 2.60-2.70, 2 Ru 2.75
Mn: 0.5000 0.5000 0.5000  8 Nb 2.60-2.69
Mn: 0.5000 0.0000 0.2500  8 Nb 2.68-2.70
Mn: 0.5000 0.0000 0.7500  8 Nb 2.68-2.70
Ru: 0.5000 0.5000 0.0000  8 Nb 2.69-2.75

Crystal system: orthorhombic
Calculated formation energy, eV/atom: -0.141
E, eV per atom: -9.774
Magnetization, Bohr magnetons per cell: 0.00

=====

An optimized crystal structure of GaReSCl2, computed with PBE.

Lattice parameters (Å, degrees): 5.0314 5.0314 4.4833 90.00 90.00 90.00
Last column: nearest neighbours and their distance in Å.
Element x y z (fractional)
Cl: 0.0000 0.5000 0.0000  2 Re 2.52
Cl: 0.5000 0.0000 0.0000  2 Re 2.52
Ga: 0.5000 0.5000 0.5000  8 Cl 3.37, 4 S 3.56
Re: 0.0000 0.0000 0.0000  2 S 2.24
S: 0.0000 0.0000 0.5000  2 Re 2.24

Crystal system: tetragonal
E, eV per atom: -4.673
ΔE_f (raw), meV/atom: -14
Magnetization, Bohr magnetons per cell: 0.57
ΔE to the lowest computed polymorph, meV per atom: 0

=====

An optimized crystal structure of Sr2CuSi, computed with PBE.

Lattice parameters (Å, degrees): 8.3156 8.3156 6.8691 52.75 52.75 90.00
Last column: nearest neighbours and their distance in Å.
Element x y z (fractional)
Sr: 0.1190 0.6250 0.2500  2 Cu 3.04, 2 Si 3.11
Sr: 0.6310 0.1250 0.2500  2 Cu 3.04, 2 Si 3.11
Sr: 0.3750 0.3690 0.7500  2 Cu 3.04, 2 Si 3.11
Sr: 0.8750 0.8810 0.7500  2 Cu 3.04, 2 Si 3.11
Cu: 0.0000 0.0000 0.0000  4 Sr 3.04
Cu: 0.7500 0.2500 0.5000  4 Sr 3.04
Si: 0.5000 0.5000 0.0000  4 Sr 3.11
Si: 0.2500 0.7500 0.5000  4 Sr 3.11

Crystal system: tetragonal
E, eV per atom: -2.989
ΔE_f (raw), meV/atom: 231
Magnetization, Bohr magnetons per cell: 0.00

=====

An optimized crystal structure of Mn2GeHN, computed with PBE.

Lattice parameters (Å, degrees): 3.0841 3.0841 6.5357 90.00 90.00 120.00
Last column: nearest neighbours and their distance in Å.
Element x y z (fractional)
Ge: 0.6667 0.3333 0.3321  4 Mn 2.43-2.63, 3 H 2.72
H: 0.3333 0.6667 0.0175  3 Mn 1.79
N: 0.0000 0.0000 0.7357  4 Mn 1.79-1.97
Mn: 0.6667 0.3333 0.7044  3 N 1.79
Mn: 0.0000 0.0000 0.0369  3 H 1.79, 1 N 1.97

Crystal system: trigonal
E, eV per atom: -6.989
Magnetization, Bohr magnetons per cell: 2.88
ΔE to the lowest computed polymorph, meV per atom: 38